DFT (PBEsol) results for crystalline NiHg3 at its relaxed geometry.

```
4
Lattice="-0.817 -2.479 -3.167 1.766 -3.125 1.990 -4.283 1.783 2.369" Properties=species:S:1:pos:R:3 pbc="T T T"
Hg -2.313 -1.749 -0.693
Hg 0.475 -2.802 -0.588
Hg -1.021 -2.072 1.885
Ni 0.000 0.000 0.000
```

Output
For the formation energy from the elements, the calculation gives 94.2 kJ/mol of formula units. The value obtained for the calculated volume is 18.22 Å³ per atom. The polymorph energy (0 for the lowest one) comes out at 0.73 eV/f.u.

---

DFT (PBEsol) results for crystalline Ni2Hg at its relaxed geometry.

```
3
Lattice="-1.212 -2.307 0.913 2.726 -0.216 3.073 -3.524 2.057 0.518" Properties=species:S:1:pos:R:3 pbc="T T T"
Hg 0.000 0.000 0.000
Ni 0.036 -0.613 2.678
Ni -2.046 0.147 1.826
```

Output
For the formation energy from the elements, the calculation gives 68.4 kJ/mol of formula units. The value obtained for the calculated volume is 13.48 Å³ per atom.

---

DFT (PBEsol) results for crystalline Ni2Hg3 at its relaxed geometry.

```
5
Lattice="-2.050 -2.223 -0.494 -0.094 -2.437 1.854 -7.522 3.367 6.573" Properties=species:S:1:pos:R:3 pbc="T T T"
Hg 0.000 0.000 0.000
Hg -6.393 -1.589 5.180
Hg -3.273 0.296 2.754
Ni -2.710 -2.181 2.059
Ni -6.956 0.888 5.875
```

Output
For the formation energy from the elements, the calculation gives 118.0 kJ/mol of formula units. The value obtained for the calculated volume is 16.90 Å³ per atom.

---

DFT (PBEsol) results for crystalline NiHg at its relaxed geometry.

```
4
Lattice="-0.342 -1.883 2.203 0.402 -2.856 -0.445 8.385 -0.718 2.620" Properties=species:S:1:pos:R:3 pbc="T T T"
Hg 7.079 -2.434 2.884
Hg 1.366 -3.022 1.494
Ni 3.437 -4.391 2.579
Ni 5.008 -1.066 1.799
```

Output
For the formation energy from the elements, the calculation gives 65.8 kJ/mol of formula units. The value obtained for the calculated volume is 15.95 Å³ per atom.

---

DFT (PBEsol) results for crystalline NiHg3 at its relaxed geometry.

```
4
Lattice="-0.761 2.648 -1.132 1.115 -0.809 -2.641 -7.547 -3.122 -2.229" Properties=species:S:1:pos:R:3 pbc="T T T"
Hg -6.038 -2.498 -1.783
Hg -1.509 -0.624 -0.446
Hg -3.597 -0.641 -3.001
Ni 0.177 0.920 -1.887
```

Output
For the formation energy from the elements, the calculation gives 51.7 kJ/mol of formula units. The value obtained for the calculated volume is 18.78 Å³ per atom. The polymorph energy (0 for the lowest one) comes out at 0.29 eV/f.u.

---

DFT (PBEsol) results for crystalline NiHg at its relaxed geometry.

```
2
Lattice="-1.058 3.438 -0.471 -2.286 0.842 -2.688 -3.413 0.968 0.758" Properties=species:S:1:pos:R:3 pbc="T T T"
Hg 0.000 0.000 0.000
Ni -3.379 2.624 -1.201
```

Output
For the formation energy from the elements, the calculation gives 81.2 kJ/mol of formula units. The value obtained for the calculated volume is 16.88 Å³ per atom.

---

DFT (PBEsol) results for crystalline NiHg3O at its relaxed geometry.

```
5
Lattice="-2.153 0.518 3.968 -1.751 -4.174 -0.406 3.598 -1.721 2.177" Properties=species:S:1:pos:R:3 pbc="T T T"
Ni -0.153 -2.689 2.870
Hg -0.875 -2.087 -0.203
Hg 1.799 -0.860 1.089
Hg -1.077 0.259 1.984
O 0.000 0.000 0.000
```

Output
The value obtained for the calculated volume is 18.77 Å³ per atom. Its total energy is -9.80 eV for the cell shown.

---

DFT (PBEsol) results for crystalline NiHgO2 at its relaxed geometry.

```
4
Lattice="2.869 0.000 0.000 1.434 2.484 0.000 1.434 0.828 7.005" Properties=species:S:1:pos:R:3 pbc="T T T"
Ni 2.869 1.656 3.503
Hg 0.000 0.000 0.000
O 4.303 2.484 2.569
O 1.434 0.828 4.436
```

Output
The value obtained for the calculated volume is 12.48 Å³ per atom. Its total energy is -19.66 eV for the cell shown.

---

DFT (PBEsol) results for crystalline NiHgPO2 at its relaxed geometry.

```
5
Lattice="3.971 0.000 0.000 0.000 3.971 0.000 0.000 0.000 5.174" Properties=species:S:1:pos:R:3 pbc="T T T"
Ni 1.985 1.985 2.587
Hg 0.000 0.000 0.000
O 0.000 1.985 0.000
O 1.985 0.000 0.000
P 0.000 0.000 2.587
```

Output
The value obtained for the calculated volume is 16.32 Å³ per atom. Its total energy is -17.45 eV for the cell shown.

---

DFT (PBEsol) results for crystalline ZrNiHg2O at its relaxed geometry.

```
5
Lattice="4.624 0.000 0.000 0.000 4.697 0.000 0.000 0.000 4.697" Properties=species:S:1:pos:R:3 pbc="T T T"
O 2.312 2.348 2.348
Ni 0.000 0.000 0.000
Hg 0.000 0.000 2.348
Hg 0.000 2.348 0.000
Zr 2.312 0.000 0.000
```

Output
The value obtained for the calculated volume is 20.40 Å³ per atom. Its total energy is -19.71 eV for the cell shown.

---

DFT (PBEsol) results for crystalline NiHgOs2 at its relaxed geometry.

```
4
Lattice="-1.305 -2.372 0.283 1.587 0.862 2.036 -7.157 4.381 3.725" Properties=species:S:1:pos:R:3 pbc="T T T"
Hg -3.472 2.125 1.807
Ni -1.543 0.276 2.036
Os -0.064 0.039 0.033
Os -5.374 2.621 4.030
```

Output
For the formation energy from the elements, the calculation gives 252.0 kJ/mol of formula units. The value obtained for the calculated volume is 14.94 Å³ per atom.

---

DFT (PBEsol) results for crystalline NiHg2Os at its relaxed geometry.

```
4
Lattice="-0.649 -0.509 2.667 2.707 -3.894 -0.084 2.848 4.865 0.160" Properties=species:S:1:pos:R:3 pbc="T T T"
Hg 0.086 0.059 0.032
Hg 3.131 -0.726 0.624
Ni 3.741 2.570 1.401
Os 1.824 1.222 2.138
```

Output
For the formation energy from the elements, the calculation gives 230.4 kJ/mol of formula units. The value obtained for the calculated volume is 16.29 Å³ per atom. The polymorph energy (0 for the lowest one) comes out at 0.00 eV/f.u.